# 1
NaHgAu4: relaxed, PBE.

Results
Electronic total energy ... -15.81 eV/f.u.
Energy relative to the elements ... -179.5 meV/atom

abc: 5.609 5.609 5.609
angles: 60.00 60.00 60.00
Element x y z (fractional)
Au1 0.625 0.125 0.625
Au2 0.625 0.625 0.625
Au3 0.625 0.625 0.125
Au4 0.125 0.625 0.625
Hg1 0.250 0.250 0.250
Na1 0.000 0.000 0.000

---

# 2
Na5Hg12Au3: relaxed, PBE.

Results
Electronic total energy ... -20.63 eV/f.u.
Energy relative to the elements ... -29.2 meV/atom

abc: 15.093 15.093 15.093
angles: 109.47 109.47 109.47
Element x y z (fractional)
Na1 0.750 0.125 0.875
Na2 0.500 0.500 0.500
Na3 0.875 0.625 0.750
Na4 0.500 0.000 0.000
Na5 0.625 0.750 0.875
Na6 0.375 0.125 0.750
Na7 0.875 0.250 0.625
Na8 0.750 0.625 0.375
Na9 0.375 0.250 0.125
Na10 0.000 0.500 0.000
Na11 0.500 0.000 0.500
Na12 0.125 0.750 0.375
Na13 0.625 0.875 0.250
Na14 0.250 0.875 0.125
Na15 0.500 0.500 0.000
Na16 0.000 0.000 0.000
Na17 0.000 0.500 0.500
Na18 0.125 0.375 0.250
Na19 0.250 0.375 0.625
Na20 0.000 0.000 0.500
Au1 0.750 0.375 0.125
Au2 0.750 0.875 0.625
Au3 0.625 0.375 0.750
Au4 0.875 0.125 0.250
Au5 0.250 0.625 0.875
Au6 0.875 0.750 0.125
Au7 0.625 0.250 0.375
Au8 0.125 0.875 0.750
Au9 0.375 0.750 0.625
Au10 0.375 0.625 0.250
Au11 0.250 0.125 0.375
Au12 0.125 0.250 0.875
Hg1 0.906 0.065 0.640
Hg2 0.565 0.925 0.659
Hg3 0.140 0.734 0.575
Hg4 0.234 0.659 0.094
Hg5 0.594 0.734 0.659
Hg6 0.435 0.360 0.594
Hg7 0.065 0.906 0.140
Hg8 0.860 0.266 0.425
Hg9 0.094 0.159 0.234
Hg10 0.065 0.159 0.425
Hg11 0.766 0.341 0.906
Hg12 0.425 0.766 0.860
Hg13 0.659 0.425 0.565
Hg14 0.159 0.094 0.734
Hg15 0.341 0.575 0.435
Hg16 0.925 0.360 0.266
Hg17 0.841 0.935 0.075
Hg18 0.406 0.140 0.565
Hg19 0.406 0.266 0.341
Hg20 0.565 0.640 0.406
Hg21 0.766 0.425 0.360
Hg22 0.575 0.234 0.140
Hg23 0.906 0.841 0.766
Hg24 0.266 0.406 0.841
Hg25 0.266 0.860 0.925
Hg26 0.925 0.565 0.159
Hg27 0.140 0.406 0.065
Hg28 0.425 0.659 0.065
Hg29 0.860 0.594 0.935
Hg30 0.234 0.575 0.640
Hg31 0.594 0.860 0.435
Hg32 0.640 0.565 0.906
Hg33 0.935 0.094 0.860
Hg34 0.659 0.234 0.594
Hg35 0.575 0.341 0.935
Hg36 0.341 0.766 0.406
Hg37 0.094 0.935 0.360
Hg38 0.734 0.594 0.159
Hg39 0.075 0.435 0.841
Hg40 0.075 0.640 0.734
Hg41 0.640 0.075 0.234
Hg42 0.841 0.906 0.266
Hg43 0.360 0.435 0.094
Hg44 0.360 0.925 0.766
Hg45 0.159 0.065 0.925
Hg46 0.935 0.841 0.575
Hg47 0.734 0.140 0.075
Hg48 0.435 0.075 0.341

---

# 3
Na12Hg3Au5: relaxed, PBE.

Results
Electronic total energy ... -34.21 eV/f.u.
Energy relative to the elements ... -54.5 meV/atom

abc: 15.254 15.254 15.254
angles: 109.47 109.47 109.47
Element x y z (fractional)
Na1 0.093 0.922 0.373
Na2 0.220 0.549 0.627
Na3 0.549 0.220 0.127
Na4 0.951 0.578 0.171
Na5 0.373 0.422 0.093
Na6 0.627 0.049 0.220
Na7 0.451 0.780 0.873
Na8 0.280 0.407 0.829
Na9 0.078 0.171 0.451
Na10 0.220 0.671 0.093
Na11 0.922 0.093 0.873
Na12 0.671 0.451 0.578
Na13 0.922 0.829 0.549
Na14 0.127 0.720 0.549
Na15 0.720 0.127 0.049
Na16 0.329 0.780 0.407
Na17 0.171 0.093 0.720
Na18 0.593 0.720 0.671
Na19 0.422 0.049 0.329
Na20 0.720 0.593 0.171
Na21 0.829 0.922 0.049
Na22 0.049 0.422 0.829
Na23 0.127 0.407 0.078
Na24 0.093 0.171 0.220
Na25 0.049 0.627 0.720
Na26 0.907 0.078 0.627
Na27 0.171 0.078 0.951
Na28 0.329 0.549 0.422
Na29 0.780 0.451 0.373
Na30 0.373 0.951 0.780
Na31 0.873 0.280 0.451
Na32 0.578 0.951 0.671
Na33 0.829 0.907 0.280
Na34 0.578 0.627 0.407
Na35 0.407 0.127 0.578
Na36 0.549 0.329 0.922
Na37 0.407 0.280 0.329
Na38 0.451 0.671 0.078
Na39 0.280 0.873 0.951
Na40 0.593 0.873 0.422
Na41 0.627 0.578 0.907
Na42 0.780 0.329 0.907
Na43 0.873 0.593 0.922
Na44 0.078 0.907 0.127
Na45 0.422 0.373 0.593
Na46 0.951 0.373 0.280
Na47 0.907 0.829 0.780
Na48 0.671 0.220 0.593
Hg1 0.625 0.375 0.750
Hg2 0.750 0.375 0.125
Hg3 0.875 0.750 0.125
Hg4 0.875 0.125 0.250
Hg5 0.750 0.875 0.625
Hg6 0.125 0.875 0.750
Hg7 0.250 0.125 0.375
Hg8 0.375 0.750 0.625
Hg9 0.375 0.625 0.250
Hg10 0.250 0.625 0.875
Hg11 0.125 0.250 0.875
Hg12 0.625 0.250 0.375
Au1 0.000 0.000 0.500
Au2 0.875 0.625 0.750
Au3 0.000 0.500 0.000
Au4 0.875 0.250 0.625
Au5 0.125 0.750 0.375
Au6 0.000 0.500 0.500
Au7 0.250 0.375 0.625
Au8 0.750 0.125 0.875
Au9 0.625 0.750 0.875
Au10 0.375 0.250 0.125
Au11 0.500 0.500 0.000
Au12 0.500 0.000 0.500
Au13 0.000 0.000 0.000
Au14 0.250 0.875 0.125
Au15 0.500 0.000 0.000
Au16 0.500 0.500 0.500
Au17 0.625 0.875 0.250
Au18 0.125 0.375 0.250
Au19 0.375 0.125 0.750
Au20 0.750 0.625 0.375

---

# 4
Na2Hg4Au: relaxed, PBE.

Results
ΔE to the lowest computed polymorph ... 9 meV/atom
Electronic total energy ... -7.55 eV/f.u.
Energy relative to the elements ... -60.6 meV/atom

abc: 4.336 4.380 11.626
angles: 100.86 90.00 90.00
Element x y z (fractional)
Hg1 0.000 0.309 0.618
Hg2 0.000 0.691 0.382
Hg3 0.500 0.810 0.621
Hg4 0.500 0.190 0.379
Na1 0.500 0.414 0.828
Na2 0.500 0.586 0.172
Au1 0.000 0.500 0.000

---

# 5
Na3HgAu2: relaxed, PBE.

Results
Electronic total energy ... -12.43 eV/f.u.
Energy relative to the elements ... -269.6 meV/atom

abc: 7.703 9.180 9.075
angles: 90.00 113.27 90.00
Element x y z (fractional)
Na1 0.439 0.886 0.147
Na2 0.042 0.990 0.204
Na3 0.958 0.010 0.796
Na4 0.707 0.150 0.317
Na5 0.542 0.510 0.704
Na6 0.793 0.650 0.183
Na7 0.207 0.350 0.817
Na8 0.293 0.850 0.683
Na9 0.061 0.386 0.353
Na10 0.458 0.490 0.296
Na11 0.939 0.614 0.647
Na12 0.561 0.114 0.853
Hg1 0.578 0.836 0.520
Hg2 0.422 0.164 0.480
Hg3 0.922 0.336 0.980
Hg4 0.078 0.664 0.020
Au1 0.202 0.696 0.379
Au2 0.598 0.366 0.060
Au3 0.402 0.634 0.940
Au4 0.902 0.866 0.440
Au5 0.798 0.304 0.621
Au6 0.098 0.134 0.560
Au7 0.702 0.804 0.879
Au8 0.298 0.196 0.121

---

# 6
Na3HgAu: relaxed, PBE.

Results
ΔE to the lowest computed polymorph ... 151 meV/atom
Electronic total energy ... -7.93 eV/f.u.
Energy relative to the elements ... -78.0 meV/atom

abc: 5.571 5.571 5.571
angles: 90.00 90.00 90.00
Element x y z (fractional)
Au1 0.000 0.000 0.000
Na1 0.000 0.000 0.500
Na2 0.000 0.500 0.000
Na3 0.500 0.000 0.000
Hg1 0.500 0.500 0.500

---

# 7
Na3Hg5Au: relaxed, PBE.

Results
ΔE to the lowest computed polymorph ... 91 meV/atom
Electronic total energy ... -10.05 eV/f.u.
Energy relative to the elements ... -144.9 meV/atom

abc: 9.051 9.051 8.781
angles: 121.02 121.02 90.00
Element x y z (fractional)
Na1 0.116 0.384 0.000
Na2 0.750 0.750 0.500
Na3 0.884 0.616 0.000
Na4 0.616 0.116 0.000
Na5 0.250 0.250 0.500
Na6 0.384 0.884 0.000
Hg1 0.000 0.000 0.000
Hg2 0.668 0.168 0.723
Hg3 0.832 0.945 0.277
Hg4 0.945 0.445 0.277
Hg5 0.445 0.332 0.277
Hg6 0.555 0.668 0.723
Hg7 0.055 0.555 0.723
Hg8 0.168 0.055 0.723
Hg9 0.332 0.832 0.277
Hg10 0.500 0.500 0.000
Au1 0.750 0.250 0.500
Au2 0.250 0.750 0.500

---

# 8
Na5Hg2Au2: relaxed, PBE.

Results
Electronic total energy ... -15.88 eV/f.u.
Energy relative to the elements ... -236.6 meV/atom

abc: 7.709 7.715 9.020
angles: 115.32 90.00 90.00
Element x y z (fractional)
Au1 0.127 0.628 0.000
Au2 0.627 0.872 0.000
Au3 0.373 0.128 0.000
Au4 0.873 0.372 0.000
Na1 0.672 0.047 0.749
Na2 0.328 0.702 0.749
Na3 0.328 0.953 0.251
Na4 0.828 0.798 0.251
Na5 0.672 0.298 0.251
Na6 0.172 0.202 0.749
Na7 0.000 0.000 0.000
Na8 0.172 0.453 0.251
Na9 0.500 0.500 0.000
Na10 0.828 0.547 0.749
Hg1 0.000 0.218 0.436
Hg2 0.500 0.282 0.564
Hg3 0.000 0.782 0.564
Hg4 0.500 0.718 0.436